Cd3CoH: relaxed, PBE.

Unit cell a=4.2862 b=4.2862 c=4.2862 alpha=90.00 beta=90.00 gamma=90.00
With the nearest neighbours (Å) after each atom.
Atoms (fractional coordinates):
Co 0.5000 0.5000 0.5000  12 Cd 3.03
H 0.0000 0.0000 0.0000  6 Cd 2.14
Cd 0.0000 0.5000 0.0000  2 H 2.14
Cd 0.0000 0.0000 0.5000  2 H 2.14
Cd 0.5000 0.0000 0.0000  2 H 2.14

## Properties
The volume comes out at 78.7 Å³ per cell. The energy relative to the lowest polymorph listed for this composition is 0 kJ/mol of formula units.